Record 1
Below is crystalline Cd3InRh4 at its relaxed geometry, with properties calculated at the PBE level.

Computed properties:
Space group   No. 123
Total moment   0.00 μB/f.u.
Energy of formation   -0.19 eV/atom

Geometry as POSCAR:
```
Cd3InRh4
1.0
4.5586 0.0000 0.0000
0.0000 6.4782 0.0000
0.0000 0.0000 9.1177
Cd Rh In
6 8 2
Cartesian
2.2782 0.0000 6.8383
0.0000 0.0000 0.0000
0.0000 0.0000 4.5589
2.2803 0.0000 2.2794
2.2778 3.2391 6.8383
2.2807 3.2391 2.2794
2.2793 4.8325 0.0000
2.2793 1.6457 4.5589
0.0012 4.8322 2.2794
0.0012 1.6460 2.2794
2.2793 1.6457 0.0000
4.5574 1.6460 6.8383
4.5574 4.8322 6.8383
2.2793 4.8325 4.5589
0.0000 3.2391 4.5589
0.0000 3.2391 0.0000
```

=====

Record 2
Below is crystalline Cd2InRh2 at its relaxed geometry, with properties calculated at the PBE level.

Computed properties:
Space group   No. 139
Total moment   0.46 μB/f.u.
ΔE to the lowest computed polymorph   0.486 eV per atom
Energy of formation   0.28 eV/atom

Geometry as POSCAR:
```
Cd2InRh2
1.0
-3.8002 0.5201 -0.2483
-0.3269 -0.5810 3.7854
-1.2013 6.8059 2.8922
Cd Rh In
2 2 1
Cartesian
-1.8787 1.4347 2.0094
-3.4496 5.3103 4.4200
-3.5325 3.6478 2.2062
-1.7958 3.0972 4.2231
0.0000 0.0000 0.0000
```

=====

Record 3
Below is crystalline CdInRh2 at its relaxed geometry, with properties calculated at the PBE level.

Computed properties:
Space group   No. 8
Total moment   0.01 μB/f.u.
ΔE to the lowest computed polymorph   0.135 eV per atom
Energy of formation   -0.17 eV/atom

Geometry as POSCAR:
```
CdInRh2
1.0
1.5070 5.0563 0.0342
-1.5070 5.0563 0.0342
0.0000 1.4546 4.5234
Rh Cd In
2 1 1
Cartesian
0.0000 3.1091 1.4136
0.0000 11.3597 4.3253
0.0000 5.8202 1.9825
0.0000 8.6288 3.7582
```

=====

Record 4
Below is crystalline CdIn2Rh2 at its relaxed geometry, with properties calculated at the PBE level.

Computed properties:
Space group   No. 139
Total moment   0.00 μB/f.u.
Energy of formation   -0.03 eV/atom

Geometry as POSCAR:
```
CdIn2Rh2
1.0
-3.4517 -2.1457 0.8260
2.1245 -3.5462 -0.3338
0.6067 -2.6359 6.1000
Rh In Cd
2 2 1
Cartesian
-0.3953 -2.8016 1.4825
-0.3252 -5.5262 5.1097
1.0338 -4.5140 3.0062
-1.7543 -3.8138 3.5861
0.0000 0.0000 0.0000
```

=====

Record 5
Below is crystalline Cd2In2Rh3 at its relaxed geometry, with properties calculated at the PBE level.

Computed properties:
Space group   No. 12
Total moment   0.00 μB/f.u.
Energy of formation   -0.26 eV/atom

Geometry as POSCAR:
```
Cd2In2Rh3
1.0
4.3800 0.0013 -1.2285
-2.3588 3.8819 -0.0013
-0.1984 -0.1182 7.7835
In Cd Rh
2 2 3
Cartesian
-0.5976 2.2954 6.3463
2.4204 1.4696 0.2074
1.0662 3.3055 3.8338
0.7566 0.4595 2.7198
0.0000 0.0000 0.0000
0.3328 2.8601 1.1871
1.4901 0.9049 5.3665
```

=====

Record 6
Below is crystalline CdIn2Rh2 at its relaxed geometry, with properties calculated at the PBE level.

Computed properties:
Space group   No. 127
Total moment   0.00 μB/f.u.
Energy of formation   -0.31 eV/atom

Geometry as POSCAR:
```
CdIn2Rh2
1.0
-5.9408 -3.8112 -2.8153
0.1253 -4.6398 6.0168
-2.0074 1.9738 1.5639
In Rh Cd
4 4 2
Cartesian
-3.0518 -1.0447 0.7171
-4.7711 -5.4325 4.0483
-1.8252 -2.6178 4.2771
-5.9977 -3.8593 0.4883
-3.8172 -3.1362 -0.9415
-1.9983 -5.3148 4.1429
-4.9949 -6.2517 1.4792
-0.8207 -2.1992 1.7223
-2.9078 -4.2255 1.6007
0.0000 0.0000 0.0000
```

=====

Record 7
Below is crystalline CdInRh3 at its relaxed geometry, with properties calculated at the PBE level.

Computed properties:
Space group   No. 221
Total moment   1.71 μB/f.u.
ΔE to the lowest computed polymorph   0.000 eV per atom
Energy of formation   1.09 eV/atom

Geometry as POSCAR:
```
CdInRh3
1.0
-1.6690 -4.4980 0.8500
2.6514 -1.6874 -3.7233
3.7315 -0.8129 3.0257
Rh In Cd
3 1 1
Cartesian
-0.8345 -2.2490 0.4250
1.8658 -0.4064 1.5129
1.3257 -0.8437 -1.8616
0.0000 0.0000 0.0000
2.3570 -3.4991 0.0762
```

=====

Record 8
Below is crystalline Cd4InRh at its relaxed geometry, with properties calculated at the PBE level.

Computed properties:
Space group   No. 216
Total moment   0.00 μB/f.u.
Energy of formation   0.20 eV/atom

Geometry as POSCAR:
```
Cd4InRh
1.0
4.6663 -2.2355 2.1916
1.1560 0.6983 5.4544
-0.3619 -4.3578 3.5290
Cd Rh In
4 1 1
Cartesian
2.6251 -1.8557 6.9249
1.8621 -4.3972 5.9571
4.3896 -3.3304 5.2848
2.0440 -2.2067 4.1832
0.0000 0.0000 0.0000
4.0953 -4.4212 8.3813
```